No. 1
DFT (GGA-PBE) results for a geometry-optimized RbTmMgSe3 structure.

**Symmetry**: P2_1/m
**D(E_F)**: 0.00 states/eV/f.u.
**Spin magnetization**: 0.00 μB/f.u.
**VASP energy**: -53.56 eV/cell
**Formation energy (no corrections)**: -896 kJ/mol of formula units

a = 4.2349 Å, b = 9.2942 Å, c = 10.2590 Å
α = 109.69°, β = 90.00°, γ = 90.00°
With the nearest neighbours (Å) after each atom.
Atoms (fractional coordinates):
Se 0.2500 0.5285 0.8459  3 Tm 2.78-2.85
Mg 0.2500 0.0853 0.6123  4 Se 2.52-2.65
Se 0.2500 0.7942 0.4523  3 Mg 2.58-2.65
Mg 0.7500 0.9147 0.3877  4 Se 2.52-2.65
Se 0.7500 0.8780 0.1329  1 Mg 2.52
Tm 0.2500 0.6670 0.1317  6 Se 2.78-3.10
Tm 0.7500 0.3330 0.8683  6 Se 2.78-3.10
Se 0.7500 0.2058 0.5477  3 Mg 2.58-2.65
Rb 0.2500 0.2145 0.2339  7 Se 3.49-3.88
Rb 0.7500 0.7855 0.7661  7 Se 3.49-3.88
Se 0.2500 0.1220 0.8671  1 Mg 2.52
Se 0.7500 0.4715 0.1541  3 Tm 2.78-2.85


No. 2
DFT (GGA-PBE) results for a geometry-optimized Ag2TePbSe4 structure.

**Symmetry**: C2/c
**D(E_F)**: 2.89 states/eV/f.u.
**Spin magnetization**: 0.00 μB/f.u.
**VASP energy**: -55.15 eV/cell
**Formation energy (no corrections)**: -104 kJ/mol of formula units

a = 8.2464 Å, b = 8.2464 Å, c = 8.2448 Å
α = 120.01°, β = 120.01°, γ = 90.09°
With the nearest neighbours (Å) after each atom.
Atoms (fractional coordinates):
Se 0.7402 0.7584 0.4954  3 Ag 2.81-2.90, 2 Te 2.93-2.94, 1 Pb 3.02
Ag 0.0000 0.0000 0.5000  6 Se 2.89-2.93
Ag 0.5000 0.0000 0.5000  6 Se 2.81
Te 0.0000 0.0000 0.0000  6 Se 2.91-2.94
Se 0.7315 0.2334 0.4824  3 Ag 2.81-2.93, 1 Te 2.91, 2 Pb 3.02
Pb 0.0000 0.5000 0.5000  6 Se 3.02
Se 0.7416 0.7598 0.0046  3 Ag 2.81-2.90, 2 Te 2.93-2.94, 1 Pb 3.02
Se 0.2685 0.7666 0.5176  3 Ag 2.81-2.93, 1 Te 2.91, 2 Pb 3.02
Te 0.5000 0.5000 0.5000  6 Se 2.91-2.94
Ag 0.5000 0.0000 0.0000  6 Se 2.81
Se 0.2598 0.2416 0.5046  3 Ag 2.81-2.90, 2 Te 2.93-2.94, 1 Pb 3.02
Se 0.2666 0.7685 0.0176  3 Ag 2.81-2.93, 1 Te 2.91, 2 Pb 3.02
Pb 0.0000 0.5000 0.0000  6 Se 3.02
Ag 0.5000 0.5000 0.0000  6 Se 2.89-2.93
Se 0.2584 0.2402 0.9954  3 Ag 2.81-2.90, 2 Te 2.93-2.94, 1 Pb 3.02
Se 0.7334 0.2315 0.9824  3 Ag 2.81-2.93, 1 Te 2.91, 2 Pb 3.02


No. 3
DFT (GGA-PBE) results for a geometry-optimized YGa6Pt4 structure.

**Formation energy from the elements**: -8.3 eV/f.u.
**Symmetry**: P-6m2
**D(E_F)**: 4.10 states/eV/f.u.
**Spin magnetization**: 0.00 μB/f.u.
**VASP energy**: -57.10 eV/cell

a = 3.7824 Å, b = 7.6362 Å, c = 7.6362 Å
α = 120.00°, β = 90.00°, γ = 90.00°
With the nearest neighbours (Å) after each atom.
Atoms (fractional coordinates):
Ga 0.5000 0.6148 0.8074  4 Pt 2.58-2.65
Ga 0.0000 0.5295 0.4705  5 Pt 2.60-2.62
Ga 0.5000 0.1926 0.3852  4 Pt 2.58-2.65
Pt 0.5000 0.8031 0.6062  6 Ga 2.58-2.62
Pt 0.0000 0.3333 0.6667  9 Ga 2.60-2.65
Y 0.0000 0.0000 0.0000  6 Ga 3.17, 6 Pt 3.22
Ga 0.5000 0.1926 0.8074  4 Pt 2.58-2.65
Pt 0.5000 0.3938 0.1969  6 Ga 2.58-2.62
Pt 0.5000 0.8031 0.1969  6 Ga 2.58-2.62
Ga 0.0000 0.5295 0.0591  5 Pt 2.60-2.62
Ga 0.0000 0.9409 0.4705  5 Pt 2.60-2.62


Q: Which value of VASP energy does entry 2 give?
A: -55.15 eV/cell